# 1
{
  "formula": "CaOsSN2",
  "functional": "PBEsol",
  "state": "relaxed",
  "space_group": "P4/mmm",
  "magmom_total_mub_per_atom": 0.932,
  "energy_ev_per_atom": -4.780,
  "raw_formation_energy_ev_per_atom": 2.38,
  "lattice": [[3.9863, 0.0000, 0.0000], [0.0000, 3.9863, 0.0000], [0.0000, 0.0000, 5.2678]],
  "species": ["Ca", "Os", "S", "N", "N"],
  "fractional_positions": [[0.0000, 0.0000, 0.0000], [0.5000, 0.5000, 0.5000], [0.0000, 0.0000, 0.5000], [0.0000, 0.5000, 0.0000], [0.5000, 0.0000, 0.0000]]
}

---

# 2
{
  "formula": "Ca2PN3",
  "functional": "PBEsol",
  "state": "relaxed",
  "space_group": "Cmce",
  "magmom_total_mub_per_atom": 0.000,
  "energy_ev_per_atom": -7.224,
  "raw_formation_energy_ev_per_atom": -1.28,
  "lattice": [[2.5878, -5.1343, 0.0000], [2.5878, 5.1343, 0.0000], [0.0000, 0.0000, 11.1968]],
  "species": ["Ca", "Ca", "Ca", "Ca", "Ca", "Ca", "Ca", "Ca", "P", "P", "P", "P", "N", "N", "N", "N", "N", "N", "N", "N", "N", "N", "N", "N"],
  "fractional_positions": [[0.0517, 0.9483, 0.8577], [0.1375, 0.8625, 0.4259], [0.3625, 0.6375, 0.9259], [0.4483, 0.5517, 0.3577], [0.5517, 0.4483, 0.6423], [0.6375, 0.3625, 0.0741], [0.8625, 0.1375, 0.5741], [0.9483, 0.0517, 0.1423], [0.2445, 0.7555, 0.6647], [0.2555, 0.7445, 0.1647], [0.7445, 0.2555, 0.8353], [0.7555, 0.2445, 0.3353], [0.0398, 0.4602, 0.7500], [0.0879, 0.9121, 0.6403], [0.1598, 0.8402, 0.0489], [0.3402, 0.6598, 0.5489], [0.4121, 0.5879, 0.1403], [0.4602, 0.0398, 0.2500], [0.5398, 0.9602, 0.7500], [0.5879, 0.4121, 0.8597], [0.6598, 0.3402, 0.4511], [0.8402, 0.1598, 0.9511], [0.9121, 0.0879, 0.3597], [0.9602, 0.5398, 0.2500]]
}

---

# 3
{
  "formula": "CaPSeN2",
  "functional": "PBEsol",
  "state": "relaxed",
  "space_group": "P4/mmm",
  "magmom_total_mub_per_atom": 0.680,
  "energy_ev_per_atom": -4.105,
  "raw_formation_energy_ev_per_atom": 1.66,
  "lattice": [[4.3598, 0.0000, 0.0000], [0.0000, 4.3598, 0.0000], [0.0000, 0.0000, 5.6948]],
  "species": ["Ca", "P", "Se", "N", "N"],
  "fractional_positions": [[0.0000, 0.0000, 0.0000], [0.5000, 0.5000, 0.5000], [0.0000, 0.0000, 0.5000], [0.0000, 0.5000, 0.0000], [0.5000, 0.0000, 0.0000]]
}

---

# 4
{
  "formula": "Ca2PbN",
  "functional": "PBEsol",
  "state": "relaxed",
  "space_group": "Fm-3m",
  "magmom_total_mub_per_atom": 0.000,
  "energy_ev_per_atom": -3.937,
  "raw_formation_energy_ev_per_atom": 0.26,
  "lattice": [[7.1172, 0.0000, 0.0000], [0.0000, 7.1172, 0.0000], [0.0000, 0.0000, 7.1172]],
  "species": ["Ca", "Ca", "Ca", "Ca", "Ca", "Ca", "Ca", "Ca", "Pb", "Pb", "Pb", "Pb", "N", "N", "N", "N"],
  "fractional_positions": [[0.2500, 0.2500, 0.2500], [0.2500, 0.2500, 0.7500], [0.2500, 0.7500, 0.2500], [0.2500, 0.7500, 0.7500], [0.7500, 0.2500, 0.2500], [0.7500, 0.2500, 0.7500], [0.7500, 0.7500, 0.2500], [0.7500, 0.7500, 0.7500], [0.0000, 0.0000, 0.0000], [0.0000, 0.5000, 0.5000], [0.5000, 0.0000, 0.5000], [0.5000, 0.5000, 0.0000], [0.0000, 0.0000, 0.5000], [0.0000, 0.5000, 0.0000], [0.5000, 0.0000, 0.0000], [0.5000, 0.5000, 0.5000]]
}

---

# 5
{
  "formula": "CaPbS2N",
  "functional": "PBEsol",
  "state": "relaxed",
  "space_group": "P4/mmm",
  "magmom_total_mub_per_atom": 0.552,
  "relative_energy_kj_per_mol_fu": 98.7,
  "energy_ev_per_atom": -4.393,
  "raw_formation_energy_ev_per_atom": 0.29,
  "lattice": [[5.2077, 0.0000, 0.0000], [0.0000, 5.2077, 0.0000], [0.0000, 0.0000, 4.4181]],
  "species": ["Ca", "Pb", "S", "S", "N"],
  "fractional_positions": [[0.0000, 0.0000, 0.0000], [0.5000, 0.5000, 0.5000], [0.0000, 0.5000, 0.0000], [0.5000, 0.0000, 0.0000], [0.0000, 0.0000, 0.5000]]
}

---

# 6
{
  "formula": "CaPbS2N",
  "functional": "PBEsol",
  "state": "relaxed",
  "space_group": "P4/mmm",
  "magmom_total_mub_per_atom": 0.254,
  "relative_energy_kj_per_mol_fu": 0.0,
  "energy_ev_per_atom": -4.598,
  "raw_formation_energy_ev_per_atom": 0.09,
  "lattice": [[5.1949, 0.0000, 0.0000], [0.0000, 5.1949, 0.0000], [0.0000, 0.0000, 4.2216]],
  "species": ["Ca", "Pb", "S", "S", "N"],
  "fractional_positions": [[0.0000, 0.0000, 0.0000], [0.5000, 0.5000, 0.5000], [0.0000, 0.5000, 0.5000], [0.5000, 0.0000, 0.5000], [0.5000, 0.5000, 0.0000]]
}

---

# 7
{
  "formula": "CaPdN2",
  "functional": "PBEsol",
  "state": "relaxed",
  "space_group": "R-3m",
  "magmom_total_mub_per_atom": 0.000,
  "relative_energy_kj_per_mol_fu": 69.8,
  "energy_ev_per_atom": -5.648,
  "raw_formation_energy_ev_per_atom": 0.64,
  "lattice": [[3.3501, 0.0000, 0.0000], [-1.6751, 2.9013, 0.0000], [0.0000, 0.0000, 17.9942]],
  "species": ["Ca", "Ca", "Ca", "Pd", "Pd", "Pd", "N", "N", "N", "N", "N", "N"],
  "fractional_positions": [[0.0000, 0.0000, 0.0000], [0.3333, 0.6667, 0.6667], [0.6667, 0.3333, 0.3333], [0.0000, 0.0000, 0.5000], [0.3333, 0.6667, 0.1667], [0.6667, 0.3333, 0.8333], [0.0000, 0.0000, 0.1212], [0.0000, 0.0000, 0.8788], [0.3333, 0.6667, 0.5454], [0.3333, 0.6667, 0.7879], [0.6667, 0.3333, 0.2121], [0.6667, 0.3333, 0.4546]]
}

---

# 8
{
  "formula": "CaPdN2",
  "functional": "PBEsol",
  "state": "relaxed",
  "space_group": "Fm-3m",
  "magmom_total_mub_per_atom": 0.000,
  "relative_energy_kj_per_mol_fu": 0.0,
  "energy_ev_per_atom": -5.829,
  "raw_formation_energy_ev_per_atom": 0.46,
  "lattice": [[5.6331, 0.0000, 0.0000], [0.0000, 5.6331, 0.0000], [0.0000, 0.0000, 5.6331]],
  "species": ["Ca", "Ca", "Ca", "Ca", "Pd", "Pd", "Pd", "Pd", "N", "N", "N", "N", "N", "N", "N", "N"],
  "fractional_positions": [[0.0000, 0.0000, 0.0000], [0.0000, 0.5000, 0.5000], [0.5000, 0.0000, 0.5000], [0.5000, 0.5000, 0.0000], [0.0000, 0.0000, 0.5000], [0.0000, 0.5000, 0.0000], [0.5000, 0.0000, 0.0000], [0.5000, 0.5000, 0.5000], [0.2500, 0.2500, 0.2500], [0.2500, 0.2500, 0.7500], [0.2500, 0.7500, 0.2500], [0.2500, 0.7500, 0.7500], [0.7500, 0.2500, 0.2500], [0.7500, 0.2500, 0.7500], [0.7500, 0.7500, 0.2500], [0.7500, 0.7500, 0.7500]]
}

---

Please write out number 3 again, unchanged.
{
  "formula": "CaPSeN2",
  "functional": "PBEsol",
  "state": "relaxed",
  "space_group": "P4/mmm",
  "magmom_total_mub_per_atom": 0.680,
  "energy_ev_per_atom": -4.105,
  "raw_formation_energy_ev_per_atom": 1.66,
  "lattice": [[4.3598, 0.0000, 0.0000], [0.0000, 4.3598, 0.0000], [0.0000, 0.0000, 5.6948]],
  "species": ["Ca", "P", "Se", "N", "N"],
  "fractional_positions": [[0.0000, 0.0000, 0.0000], [0.5000, 0.5000, 0.5000], [0.0000, 0.0000, 0.5000], [0.0000, 0.5000, 0.0000], [0.5000, 0.0000, 0.0000]]
}